No. 1
A geometry-optimized TaNiP4 structure. Source: the Alexandria database, functional PBE.

Cell lengths 4.891, 4.891, 4.891 Å; angles 60.00, 60.00, 60.00 degrees
Fractional coordinates of all 6 atoms:
Ta: 0.750 0.750 0.750
Ni: 0.000 0.000 0.000
P: 0.877 0.374 0.374
P: 0.374 0.374 0.877
P: 0.374 0.877 0.374
P: 0.374 0.374 0.374

Computed properties:
ΔE_f ... 3.10 eV per formula unit
M_tot ... 0.00 Bohr magnetons per cell
E ... -6.03 eV/atom

---

No. 2
A geometry-optimized PmSmEu2 structure. Source: the Alexandria database, functional PBE.

Cell lengths 3.716, 3.716, 12.506 Å; angles 81.46, 81.46, 60.00 degrees
Each line ends with the local moment (μB).
Fractional coordinates of all 4 atoms:
Eu: 0.750 0.750 0.750  6.94
Eu: 0.250 0.250 0.250  6.94
Sm: 0.500 0.500 0.500  0.09
Pm: 0.000 0.000 0.000  0.07

Computed properties:
Energy above the lowest structure with this stoichiometry ... 0 meV/atom
ΔE_f ... 0.33 eV per formula unit
M_tot ... 15.04 Bohr magnetons per cell
E ... -7.42 eV/atom

---

No. 3
A geometry-optimized KAgPtAu2 structure. Source: the Alexandria database, functional PBE.

Cell lengths 5.185, 5.185, 5.132 Å; angles 90.00, 90.00, 90.00 degrees
Fractional coordinates of all 5 atoms:
K: 0.500 0.500 0.500
Au: 0.000 0.500 0.000
Au: 0.500 0.000 0.000
Ag: 0.000 0.000 0.000
Pt: 0.000 0.000 0.500

Computed properties:
Energy above the lowest structure with this stoichiometry ... 0 meV/atom
ΔE_f ... 2.34 eV per formula unit
M_tot ... 0.00 Bohr magnetons per cell
E ... -2.84 eV/atom

---

No. 4
A geometry-optimized NaCe2YSe4 structure. Source: the Alexandria database, functional PBE.

Cell lengths 4.170, 7.259, 7.253 Å; angles 70.74, 90.00, 90.00 degrees
Each line ends with the local moment (μB).
Fractional coordinates of all 8 atoms:
Na: 0.500 0.500 0.000  0.00
Ce: 0.000 0.000 0.000  1.01
Ce: 0.500 0.000 0.500  1.00
Y: 0.000 0.500 0.500  0.03
Se: 0.000 0.744 0.747  -0.01
Se: 0.000 0.256 0.253  -0.01
Se: 0.500 0.740 0.255  -0.01
Se: 0.500 0.260 0.745  -0.01

Computed properties:
Formation energy without anion corrections ... -1713 meV per atom
M_tot ... 2.45 Bohr magnetons per cell
E ... -5.91 eV/atom